# YAs2Pt

YAs2Pt after structural relaxation (PBE, Alexandria via LeMat-Bulk).

Lattice parameters (Å, degrees): 4.1122 4.1122 6.0378 70.32 70.32 60.04
With the nearest neighbours (Å) after each atom.
Fractional coordinates of all 4 atoms:
Y 0.2500 0.2500 0.2500  6 As 2.89
Pt 0.7500 0.7500 0.7500  6 As 2.62-2.64
As 0.4859 0.4859 0.5453  3 Pt 2.62-2.64, 3 Y 2.89
As 0.0141 0.0141 0.9547  3 Pt 2.62-2.64, 3 Y 2.89

Properties
formation enthalpy at 0 K	-0.73	eV/atom
density	8.840	g/cm3

=====

# CrFe2H

CrFe2H after structural relaxation (PBE, Alexandria via LeMat-Bulk).

Lattice parameters (Å, degrees): 5.9211 5.9211 4.6503 50.46 50.46 90.00
With the nearest neighbours (Å) after each atom.
Fractional coordinates of all 8 atoms:
Fe 0.3750 0.4840 0.7500  2 H 1.77
H 0.2500 0.7500 0.5000  4 Fe 1.77
Fe 0.5160 0.1250 0.2500  2 H 1.77
Fe 0.2340 0.6250 0.2500  2 H 1.77
H 0.5000 0.5000 0.0000  4 Fe 1.77
Fe 0.8750 0.7660 0.7500  2 H 1.77
Cr 0.7500 0.2500 0.5000  2 H 2.02
Cr 0.0000 0.0000 0.0000  2 H 2.02

Properties
relative energy among the computed polymorphs	0.73	eV/f.u.
density	7.709	g/cm3

=====

# Ac2YGe3Pt4

Ac2YGe3Pt4 after structural relaxation (PBE, Alexandria via LeMat-Bulk).

Lattice parameters (Å, degrees): 4.4431 4.4431 11.2049 90.00 90.00 90.00
With the nearest neighbours (Å) after each atom.
Fractional coordinates of all 10 atoms:
Pt 0.0000 0.5000 0.3433  3 Ge 2.54-2.83, 2 Y 2.83
Pt 0.0000 0.0000 0.0000  4 Ge 2.58
Pt 0.5000 0.5000 0.0000  4 Ge 2.58
Pt 0.5000 0.0000 0.6567  3 Ge 2.54-2.83, 2 Y 2.83
Ac 0.0000 0.5000 0.7711  6 Ge 3.38-3.76, 8 Pt 3.39, 2 Y 3.76
Y 0.5000 0.5000 0.5000  4 Pt 2.83, 4 Ge 3.14
Ge 0.5000 0.0000 0.8831  5 Pt 2.54-2.58
Ac 0.5000 0.0000 0.2289  6 Ge 3.38-3.76, 8 Pt 3.39, 2 Y 3.76
Ge 0.0000 0.0000 0.5000  4 Pt 2.83, 4 Y 3.14
Ge 0.0000 0.5000 0.1169  5 Pt 2.54-2.58

Properties
formation enthalpy at 0 K	-0.98	eV/atom
density	11.569	g/cm3

=====

# Cs4K5Au2

Cs4K5Au2 after structural relaxation (PBE, Alexandria via LeMat-Bulk).

Lattice parameters (Å, degrees): 5.2555 9.3505 16.2046 73.63 90.00 90.00
With the nearest neighbours (Å) after each atom.
Fractional coordinates of all 11 atoms:
Cs 0.5000 0.2377 0.6333  2 Au 3.63
K 0.0000 0.8092 0.1231  1 Au 3.53
Cs 0.5000 0.2306 0.1295  2 Au 3.66
Au 0.0000 0.0238 0.2710  3 K 3.49-3.66, 4 Cs 3.63-3.66
Cs 0.5000 0.7623 0.3667  2 Au 3.63
K 0.0000 0.6327 0.6834  1 Au 3.49, 1 K 3.86
K 0.0000 0.0000 0.5000  2 Au 3.66, 2 K 3.86
Cs 0.5000 0.7694 0.8705  2 Au 3.66
K 0.0000 0.3673 0.3166  1 Au 3.49, 1 K 3.86
K 0.0000 0.1908 0.8769  1 Au 3.53
Au 0.0000 0.9762 0.7290  3 K 3.49-3.66, 4 Cs 3.63-3.66

Properties
relative energy among the computed polymorphs	0.08	eV/f.u.
formation enthalpy at 0 K	-0.10	eV/atom
density	2.436	g/cm3

=====

# Al5Pd6

Al5Pd6 after structural relaxation (PBE, Alexandria via LeMat-Bulk).

Lattice parameters (Å, degrees): 4.3595 5.8735 7.4873 113.09 106.93 90.00
With the nearest neighbours (Å) after each atom.
Fractional coordinates of all 11 atoms:
Pd 0.8362 0.0851 0.6724  7 Al 2.60-2.67
Al 0.6673 0.1673 0.3346  8 Pd 2.62-2.65, 2 Al 2.94
Pd 0.1638 0.9149 0.3276  7 Al 2.60-2.67
Al 0.6655 0.6655 0.3310  8 Pd 2.62-2.67, 2 Al 2.94
Al 0.3327 0.8327 0.6654  8 Pd 2.62-2.65, 2 Al 2.94
Pd 0.8362 0.5874 0.6724  7 Al 2.60-2.67
Al 0.3345 0.3345 0.6690  8 Pd 2.62-2.67, 2 Al 2.94
Al 0.0000 0.5000 0.0000  8 Pd 2.60-2.64
Pd 0.5000 0.7531 0.0000  6 Al 2.62-2.64, 1 Pd 2.90
Pd 0.1638 0.4126 0.3276  7 Al 2.60-2.67
Pd 0.5000 0.2469 0.0000  6 Al 2.62-2.64, 1 Pd 2.90

Properties
formation enthalpy at 0 K	-0.81	eV/atom
density	7.677	g/cm3

=====

# Zr4CuTe

Zr4CuTe after structural relaxation (PBE, Alexandria via LeMat-Bulk).

Lattice parameters (Å, degrees): 5.7570 5.7570 5.7570 60.00 60.00 60.00
With the nearest neighbours (Å) after each atom.
Fractional coordinates of all 6 atoms:
Zr 0.3759 0.3759 0.3759  6 Zr 2.86-2.90
Cu 0.7500 0.7500 0.7500  12 Zr 3.37, 4 Te 3.53
Te 0.0000 0.0000 0.0000  12 Zr 3.38, 4 Cu 3.53
Zr 0.3759 0.3759 0.8723  6 Zr 2.86-2.90
Zr 0.8723 0.3759 0.3759  6 Zr 2.86-2.90
Zr 0.3759 0.8723 0.3759  6 Zr 2.86-2.90

Properties
ΔE_f (raw)	2.21	eV/f.u.
density	6.844	g/cm3

=====

# InSi2P

InSi2P after structural relaxation (PBE, Alexandria via LeMat-Bulk).

Lattice parameters (Å, degrees): 5.3663 5.3663 5.3663 143.80 124.53 68.05
With the nearest neighbours (Å) after each atom.
Fractional coordinates of all 4 atoms:
In 0.4936 0.4936 0.0000  8 Si 3.01-3.13, 4 P 3.09-3.11, 2 In 3.33
Si 0.7914 0.2914 0.5000  2 Si 2.61
P 0.1983 0.6983 0.5000  2 Si 2.32
Si 0.0166 0.0166 0.0000  2 P 2.32

Properties
relative energy among the computed polymorphs	1.29	eV/f.u.
ΔE_f (raw)	1.78	eV/f.u.
density	4.528	g/cm3

=====

# TeAs2Rh

TeAs2Rh after structural relaxation (PBE, Alexandria via LeMat-Bulk).

Lattice parameters (Å, degrees): 6.4899 6.4899 6.4899 148.11 143.45 49.28
With the nearest neighbours (Å) after each atom.
Fractional coordinates of all 4 atoms:
Rh 0.4997 0.4997 0.0000  6 As 2.60-2.71, 2 Te 2.73
As 0.0155 0.0155 0.0000  2 As 2.66, 4 Rh 2.71
As 0.6605 0.1605 0.5000  2 Rh 2.60, 2 As 2.66
Te 0.3244 0.8244 0.5000  2 Rh 2.73, 2 As 3.04

Properties
ΔE_f (raw)	0.11	eV/f.u.
density	7.377	g/cm3

=====

# GaSbPdO2

GaSbPdO2 after structural relaxation (PBE, Alexandria via LeMat-Bulk).

Lattice parameters (Å, degrees): 3.8670 6.4706 3.8670 90.00 90.00 90.00
With the nearest neighbours (Å) after each atom.
Fractional coordinates of all 5 atoms:
O 0.0000 0.0000 0.5000  2 Sb 1.93
O 0.5000 0.0000 0.0000  2 Sb 1.93
Pd 0.5000 0.5000 0.5000  4 Ga 2.73
Sb 0.0000 0.0000 0.0000  4 O 1.93
Ga 0.0000 0.5000 0.0000  4 Pd 2.73

Properties
ΔE_f (raw)	-1.16	eV/f.u.
density	5.662	g/cm3

=====

# Sc2CdNiH

Sc2CdNiH after structural relaxation (PBE, Alexandria via LeMat-Bulk).

Lattice parameters (Å, degrees): 4.7215 4.7215 3.4864 90.00 90.00 90.00
With the nearest neighbours (Å) after each atom.
Fractional coordinates of all 5 atoms:
Sc 0.0000 0.5000 0.0000  2 H 2.36
H 0.0000 0.0000 0.0000  2 Ni 1.74
Cd 0.5000 0.5000 0.5000  8 Sc 2.93
Sc 0.5000 0.0000 0.0000  2 H 2.36
Ni 0.0000 0.0000 0.5000  2 H 1.74

Properties
relative energy among the computed polymorphs	0.00	eV/f.u.
density	5.598	g/cm3

=====

# Rb2ZrGeS5

Rb2ZrGeS5 after structural relaxation (PBE, Alexandria via LeMat-Bulk).

Lattice parameters (Å, degrees): 3.8071 10.0276 14.2458 90.00 90.00 100.94
With the nearest neighbours (Å) after each atom.
Fractional coordinates of all 18 atoms:
S 0.6957 0.3913 0.1484  2 Zr 2.53
S 0.3043 0.6087 0.6484  2 Zr 2.53
S 0.0581 0.1163 0.0198  2 Ge 2.38
S 0.6743 0.3486 0.5024  1 Zr 2.33
Rb 0.1291 0.2582 0.6818  5 S 3.31-3.48
S 0.6832 0.3663 0.8995  1 Ge 2.26
Rb 0.8709 0.7418 0.1818  5 S 3.31-3.48
S 0.3257 0.6514 0.0024  1 Zr 2.33
Rb 0.8727 0.7455 0.8235  6 S 3.31-3.42
Ge 0.5694 0.1388 0.9209  4 S 2.13-2.38
Ge 0.4306 0.8612 0.4209  4 S 2.13-2.38
Zr 0.2093 0.4185 0.0331  3 S 2.33-2.53
S 0.3168 0.6337 0.3995  1 Ge 2.26
S 0.5117 0.0235 0.7946  1 Ge 2.13
Rb 0.1273 0.2545 0.3235  6 S 3.31-3.42
S 0.4883 0.9765 0.2946  1 Ge 2.13
S 0.9419 0.8837 0.5198  2 Ge 2.38
Zr 0.7907 0.5815 0.5331  3 S 2.33-2.53

Properties
ΔE_f (raw)	-9.85	eV/f.u.
density	3.079	g/cm3

=====

# EuYInRh

EuYInRh after structural relaxation (PBE, Alexandria via LeMat-Bulk).

Lattice parameters (Å, degrees): 5.1732 5.1732 5.1732 60.00 60.00 60.00
With the nearest neighbours (Å) after each atom.
Fractional coordinates of all 4 atoms:
Y 0.7500 0.7500 0.7500  4 In 3.17, 4 Rh 3.17
In 0.5000 0.5000 0.5000  4 Y 3.17, 4 Eu 3.17
Rh 0.0000 0.0000 0.0000  4 Eu 3.17, 4 Y 3.17
Eu 0.2500 0.2500 0.2500  4 In 3.17, 4 Rh 3.17

Properties
formation enthalpy at 0 K	-0.42	eV/atom
density	7.779	g/cm3